[1]
# SrRe2Mo

A relaxed SrRe2Mo crystal (PBE, Alexandria).

Lattice parameters (Å, degrees): 5.469 5.469 2.626 90.00 90.00 110.46
Fractional coordinates of all 4 atoms:
Re1 0.500 0.500 0.000
Re2 0.000 0.000 0.000
Mo1 0.000 0.500 0.500
Sr1 0.500 0.000 0.500

Output
The space group is Cmmm (65). The density comes out at 12.5 g/cm³.

---

[2]
# SrReMo

A relaxed SrReMo crystal (PBE, Alexandria).

Lattice parameters (Å, degrees): 4.924 4.924 2.768 90.00 90.00 120.00
Fractional coordinates of all 3 atoms:
Mo1 0.000 0.000 0.040
Sr1 0.333 0.667 0.680
Re1 0.667 0.333 0.280

Output
The space group is P3m1 (156). The density comes out at 10.6 g/cm³.

---

[3]
# SrRe2Mo

A relaxed SrRe2Mo crystal (PBE, Alexandria).

Lattice parameters (Å, degrees): 5.109 5.109 5.952 75.98 75.98 35.22
Fractional coordinates of all 4 atoms:
Mo1 0.750 0.750 0.750
Re1 0.466 0.466 0.606
Re2 0.034 0.034 0.894
Sr1 0.250 0.250 0.250

Output
The space group is C2/m (12). The density comes out at 10.7 g/cm³.

---

[4]
# SrRe2Mo

A relaxed SrRe2Mo crystal (PBE, Alexandria).

Lattice parameters (Å, degrees): 4.655 4.655 4.655 60.00 60.00 60.00
Fractional coordinates of all 4 atoms:
Re1 0.750 0.750 0.750
Re2 0.250 0.250 0.250
Sr1 0.000 0.000 0.000
Mo1 0.500 0.500 0.500

Output
The space group is Fm-3m (225). The density comes out at 12.9 g/cm³.

---

[5]
# Sr2ReMo

A relaxed Sr2ReMo crystal (PBE, Alexandria).

Lattice parameters (Å, degrees): 11.760 11.760 8.633 47.07 47.07 90.00
Each line ends with the local moment (μB).
Fractional coordinates of all 8 atoms:
Sr1 0.875 0.048 0.750  0.01
Sr2 0.952 0.625 0.250  0.01
Sr3 0.375 0.202 0.750  0.01
Sr4 0.798 0.125 0.250  0.01
Re1 0.000 0.000 0.000  -0.34
Re2 0.750 0.250 0.500  -0.34
Mo1 0.500 0.500 0.000  1.16
Mo2 0.250 0.750 0.500  1.17

Output
The space group is I-42d (122). The density comes out at 4.7 g/cm³.

---

[6]
# SrRe2Mo

A relaxed SrRe2Mo crystal (PBE, Alexandria).

Lattice parameters (Å, degrees): 3.185 4.760 4.760 90.00 90.00 90.00
Fractional coordinates of all 4 atoms:
Re1 0.000 0.000 0.000
Re2 0.000 0.500 0.500
Mo1 0.500 0.000 0.500
Sr1 0.500 0.500 0.000

Output
The space group is P4/mmm (123). The density comes out at 12.8 g/cm³.

---

[7]
# SrRe2Mo

A relaxed SrRe2Mo crystal (PBE, Alexandria).

Lattice parameters (Å, degrees): 10.373 10.373 10.373 15.85 15.85 15.85
Fractional coordinates of all 4 atoms:
Sr1 0.502 0.502 0.502
Mo1 0.739 0.739 0.739
Re1 0.998 0.998 0.998
Re2 0.262 0.262 0.262

Output
The space group is R3m (160). The density comes out at 12.7 g/cm³.

---

[8]
# SrRe2Mo

A relaxed SrRe2Mo crystal (PBE, Alexandria).

Lattice parameters (Å, degrees): 3.146 4.640 4.860 90.00 90.00 90.00
Fractional coordinates of all 4 atoms:
Re1 0.000 0.000 0.000
Re2 0.500 0.500 0.000
Mo1 0.000 0.500 0.500
Sr1 0.500 0.000 0.500

Output
The space group is Pmmm (47). The density comes out at 13.0 g/cm³.

---

Number 1: calculated formation energy 1.19 eV per atom. Number 2: calculated formation energy 1.11 eV per atom. Number 3: calculated formation energy 0.78 eV per atom. Number 4: calculated formation energy 1.09 eV per atom. Number 5: calculated formation energy 1.18 eV per atom. Number 6: calculated formation energy 1.24 eV per atom. Number 7: calculated formation energy 0.84 eV per atom. Number 8: calculated formation energy 1.19 eV per atom.